A relaxed Na9Fe2O7 crystal, computed with PBE+U.

Lattice parameters (Å, degrees): 9.5862 10.0693 10.4745 90.00 90.00 90.00
With the nearest neighbours (Å) after each atom.
Space group Pca2_1 (No. 29)
Symmetry-distinct sites (fractional):
Na 0.0135 0.1597 0.2512  3 O 2.32-2.40
Na 0.0126 0.7430 0.0000  6 O 2.42-2.67, 1 Na 2.67
Na 0.0700 0.6652 0.2615  3 O 2.32-2.52
Na 0.0768 0.0470 0.9842  2 O 2.25-2.47
Na 0.0891 0.5139 0.5342  4 O 2.31-2.46
Na 0.1517 0.5609 0.8402  3 O 2.31-2.44
Na 0.1581 0.1085 0.6424  3 O 2.30-2.35
Na 0.2123 0.7711 0.5665  4 O 2.37-2.65
Na 0.2218 0.2839 0.8989  4 O 2.33-2.45
Fe 0.1593 0.3981 0.1589  4 O 1.91-1.95
Fe 0.1862 0.9315 0.3152  3 O 1.88-1.90
O 0.0417 0.2772 0.0603  1 Fe 1.95
O 0.0838 0.9200 0.1609  1 Fe 1.89
O 0.0941 0.4266 0.3303  1 Fe 1.92
O 0.1544 0.3338 0.6787  1 Fe 1.91
O 0.1607 0.0828 0.4215  1 Fe 1.90
O 0.1669 0.5653 0.0728  1 Fe 1.91
O 0.1966 0.7860 0.8477  1 Fe 1.88

A relaxed Na2FeO3 crystal, computed with PBE+U.

Values from the calculation:
- Energy above the most stable polymorph in this dataset: 0.282 eV per atom

Lattice parameters (Å, degrees): 5.8370 5.8370 6.5571 90.00 90.00 120.00
With the nearest neighbours (Å) after each atom.
Space group P6_3/mmc (No. 194)
Symmetry-distinct sites (fractional):
Na 0.0000 0.0000 0.0000  6 O 2.37
Na 0.3333 0.6667 0.2500  6 O 2.92
Fe 0.3333 0.6667 0.7500  3 O 1.66
O 0.1687 0.3374 0.7500  1 Fe 1.66

A relaxed Na3FeO crystal, computed with PBE+U.

Values from the calculation:
- Energy above the most stable polymorph in this dataset: 0.000 eV per atom

Lattice parameters (Å, degrees): 4.6819 4.6819 4.6819 90.00 90.00 90.00
With the nearest neighbours (Å) after each atom.
Space group Pm-3m (No. 221)
Symmetry-distinct sites (fractional):
Na 0.0000 0.0000 0.5000  2 O 2.34
Fe 0.5000 0.5000 0.5000  12 Na 3.31
O 0.0000 0.0000 0.0000  6 Na 2.34

A relaxed Na7Fe3O8 crystal, computed with PBE+U.

Lattice parameters (Å, degrees): 6.0072 8.4372 11.5205 68.61 87.43 70.48
With the nearest neighbours (Å) after each atom.
Space group P-1 (No. 2)
Symmetry-distinct sites (fractional):
Na 0.9997 0.2183 0.2204  5 O 2.40-2.63
Na 0.0425 0.2173 0.7196  5 O 2.42-2.62
Na 0.1243 0.5745 0.0649  4 O 2.27-2.37
Na 0.1923 0.5881 0.5481  2 O 2.35-2.47
Na 0.2202 0.0386 0.0300  4 O 2.33-2.45
Na 0.2290 0.9988 0.5488  4 O 2.30-2.34
Na 0.3699 0.3797 0.8363  4 O 2.29-2.52
Fe 0.3175 0.3876 0.3508  4 O 1.86-1.95
Fe 0.4418 0.8067 0.3480  4 O 1.85-1.95
Fe 0.4568 0.8275 0.8618  4 O 1.86-2.00
O 0.0131 0.4775 0.2718  1 Fe 1.86
O 0.1453 0.9258 0.3848  1 Fe 1.85
O 0.1796 0.8379 0.9430  1 Fe 1.86
O 0.2602 0.3068 0.0367  1 Fe 1.86
O 0.2942 0.2661 0.5289  2 Fe 1.95
O 0.4082 0.5902 0.3414  2 Fe 1.93
O 0.4379 0.7500 0.7226  2 Fe 1.92-1.96
O 0.4487 0.0825 0.8100  2 Fe 1.92-2.00

A relaxed Na2FeO3 crystal, computed with PBE+U.

Values from the calculation:
- Energy above the most stable polymorph in this dataset: 0.050 eV per atom

Lattice parameters (Å, degrees): 11.4004 6.0621 5.1196 90.00 90.00 90.00
With the nearest neighbours (Å) after each atom.
Space group Cmc2_1 (No. 36)
Symmetry-distinct sites (fractional):
Na 0.1657 0.1766 0.0000  4 O 2.32-2.44
Fe 0.0000 0.3264 0.4711  4 O 1.78-1.91
O 0.0000 0.3825 0.1147  2 Fe 1.86-1.91
O 0.1407 0.2078 0.5272  1 Fe 1.78

A relaxed Na2FeO3 crystal, computed with PBE+U.

Values from the calculation:
- Energy above the most stable polymorph in this dataset: 0.117 eV per atom

Lattice parameters (Å, degrees): 5.2883 5.2883 10.8128 90.00 90.00 120.00
With the nearest neighbours (Å) after each atom.
Space group P6_3/mcm (No. 193)
Symmetry-distinct sites (fractional):
Na 0.0000 0.0000 0.0000  6 O 2.27
Na 0.0000 0.3212 0.2500  6 O 2.28-2.48
Fe 0.3333 0.6667 0.0000  6 O 1.97
O 0.0000 0.3787 0.5992  2 Fe 1.97

A relaxed NaFe2O2 crystal, computed with PBE+U.

Lattice parameters (Å, degrees): 5.5255 3.1402 7.5285 90.00 94.91 90.00
With the nearest neighbours (Å) after each atom.
Space group C2/m (No. 12)
Symmetry-distinct sites (fractional):
Na 0.0000 0.0000 0.0000  6 O 2.44-2.45
Fe 0.1942 0.5000 0.3401  3 O 2.00-2.07
O 0.1416 0.5000 0.7838  3 Fe 2.00-2.07

A relaxed Na2FeO3 crystal, computed with PBE+U.

Values from the calculation:
- Energy above the most stable polymorph in this dataset: 0.045 eV per atom

Lattice parameters (Å, degrees): 5.3698 9.3704 6.1323 90.00 90.00 90.00
With the nearest neighbours (Å) after each atom.
Space group Pnma (No. 62)
Symmetry-distinct sites (fractional):
Na 0.2323 0.0871 0.1196  5 O 2.36-2.51
Fe 0.2241 0.7500 0.1623  5 O 1.81-1.95
O 0.0078 0.1134 0.7082  2 Fe 1.95
O 0.1170 0.7500 0.8816  1 Fe 1.81

A relaxed Na3FeO crystal, computed with PBE+U.

Values from the calculation:
- Energy above the most stable polymorph in this dataset: 1.265 eV per atom

Lattice parameters (Å, degrees): 5.2838 5.2838 5.2838 90.00 90.00 90.00
With the nearest neighbours (Å) after each atom.
Space group Pm-3m (No. 221)
Symmetry-distinct sites (fractional):
Na 0.0000 0.0000 0.5000  2 Fe 2.64
Fe 0.0000 0.0000 0.0000  6 Na 2.64
O 0.5000 0.5000 0.5000  12 Na 3.74

A relaxed Na2FeO3 crystal, computed with PBE+U.

Values from the calculation:
- Energy above the most stable polymorph in this dataset: 0.009 eV per atom

Lattice parameters (Å, degrees): 6.4290 9.2762 18.0797 90.00 90.00 90.00
With the nearest neighbours (Å) after each atom.
Space group Fddd (No. 70, origin choice 2)
Symmetry-distinct sites (fractional):
Na 0.1250 0.1250 0.0463  6 O 2.27-2.45
Na 0.1250 0.1250 0.3686  6 O 2.32-2.42
Fe 0.1250 0.1250 0.5392  4 O 1.88-1.98
O 0.0668 0.3750 0.8750  2 Fe 1.98
O 0.0940 0.3640 0.7201  1 Fe 1.88

A relaxed Na2Fe4O7 crystal, computed with PBE+U.

Lattice parameters (Å, degrees): 5.1316 5.1316 6.6696 90.00 90.00 120.00
With the nearest neighbours (Å) after each atom.
Space group P-31m (No. 162)
Symmetry-distinct sites (fractional):
Na 0.3333 0.6667 0.0000  9 O 2.76-2.96, 3 Na 2.96
Fe 0.0000 0.0000 0.2771  4 O 1.85-1.90
Fe 0.3333 0.6667 0.5000  6 O 1.98
O 0.0000 0.0000 0.0000  2 Fe 1.85
O 0.0000 0.3634 0.6664  3 Fe 1.90-1.98

A relaxed NaFeO3 crystal, computed with PBE+U.

Lattice parameters (Å, degrees): 3.8354 3.8354 3.8354 90.00 90.00 90.00
With the nearest neighbours (Å) after each atom.
Space group Pm-3m (No. 221)
Symmetry-distinct sites (fractional):
Na 0.0000 0.0000 0.0000  12 O 2.71
Fe 0.5000 0.5000 0.5000  6 O 1.92
O 0.0000 0.5000 0.5000  2 Fe 1.92

The records above give, respectively, uncorrected energy values of -4.583; -4.957; -3.151; -5.150; -5.188; -5.122; -5.533; -5.194; -1.886; -5.230; -5.829; -5.354 eV/atom.
The records above give, respectively, spin magnetization values of 0.4996; 0.3332; 0.6013; 0.8333; 0.6667; 0.3353; 1.5197; 0.6666; 0.6045; 0.6651; 0.9203; 0.9741 μB per atom.